## 1
A plane-wave DFT calculation with PBE was carried out for a geometry-optimized Pr4Nd7Y structure. Values from VASP.

```
&SYSTEM
  ibrav = 0, nat = 12, ntyp = 3
/
ATOMIC_SPECIES
Pr 140.91 Pr.upf
Nd 144.24 Nd.upf
Y 88.91 Y.upf
CELL_PARAMETERS angstrom
7.089 1.897 0.944
5.266 7.842 2.576
-1.103 -0.511 9.147
ATOMIC_POSITIONS angstrom
Pr 8.480 7.137 8.805
Pr 7.174 6.475 5.374
Pr 4.077 2.753 7.292
Pr 2.772 2.091 3.861
Nd 7.602 3.692 7.768
Nd 3.650 5.536 4.898
Nd 6.839 4.831 11.140
Nd 4.932 6.202 8.334
Nd 3.545 0.949 0.472
Nd 4.413 4.397 1.527
Nd 6.320 3.027 4.332
Y 0.000 0.000 0.000
```

Results
Symmetry: No. 2

---

## 2
A plane-wave DFT calculation with PBE was carried out for a geometry-optimized Pr4Nd7Y structure. Values from VASP.

```
&SYSTEM
  ibrav = 0, nat = 12, ntyp = 3
/
ATOMIC_SPECIES
Nd 144.24 Nd.upf
Pr 140.91 Pr.upf
Y 88.91 Y.upf
CELL_PARAMETERS angstrom
-1.204 4.390 4.142
-6.424 -5.479 8.512
4.595 0.821 5.038
ATOMIC_POSITIONS angstrom
Nd -4.554 -1.184 13.647
Nd 1.521 0.915 4.044
Nd -0.137 -0.484 9.617
Nd -0.602 2.195 2.071
Nd -3.624 -3.306 7.023
Nd 0.591 3.037 10.669
Nd -2.896 0.215 8.074
Pr -3.107 -2.274 10.651
Pr 0.074 2.005 7.040
Pr -1.609 0.336 12.892
Pr -1.424 -0.605 4.799
Y 0.000 0.000 0.000
```

Results
Symmetry: No. 12

---

Stability, highest: 1

---

## 1
A plane-wave DFT calculation with PBE was carried out for a geometry-optimized Pr2Nd8Y structure. Values from VASP.

```
&SYSTEM
  ibrav = 0, nat = 11, ntyp = 3
/
ATOMIC_SPECIES
Pr 140.91 Pr.upf
Nd 144.24 Nd.upf
Y 88.91 Y.upf
CELL_PARAMETERS angstrom
1.711 -6.606 -0.566
9.959 -2.759 -1.459
8.258 -3.765 5.153
ATOMIC_POSITIONS angstrom
Pr 15.641 -9.114 2.636
Pr 4.287 -4.016 0.492
Nd 12.013 -8.689 1.767
Nd 9.239 -7.535 -0.475
Nd 8.434 -8.011 2.655
Nd 5.852 -7.055 0.432
Nd 11.494 -5.119 0.473
Nd 14.076 -6.075 2.696
Nd 10.689 -5.595 3.603
Nd 7.915 -4.441 1.360
Y 0.000 0.000 0.000
```

Results
Symmetry: No. 12

---

## 2
A plane-wave DFT calculation with PBE was carried out for a geometry-optimized Pr2Nd8Y structure. Values from VASP.

```
&SYSTEM
  ibrav = 0, nat = 11, ntyp = 3
/
ATOMIC_SPECIES
Nd 144.24 Nd.upf
Pr 140.91 Pr.upf
Y 88.91 Y.upf
CELL_PARAMETERS angstrom
-3.057 3.343 2.568
-4.697 -6.255 2.551
8.126 -0.695 5.299
ATOMIC_POSITIONS angstrom
Nd -2.466 -0.984 3.624
Nd 0.946 -0.861 2.247
Nd 3.780 0.055 4.429
Nd 3.195 0.860 7.963
Nd -3.408 -3.662 5.989
Nd -2.823 -4.468 2.455
Nd 2.838 -2.623 6.793
Nd -0.574 -2.746 8.171
Pr 0.003 -3.540 4.613
Pr 0.368 -0.067 5.805
Y -1.529 1.671 1.284
```

Results
Symmetry: No. 12

---

Stability, highest: 2

---

## 1
A plane-wave DFT calculation with PBE was carried out for a geometry-optimized Pr5Nd2Y2 structure. Values from VASP.

```
&SYSTEM
  ibrav = 0, nat = 9, ntyp = 3
/
ATOMIC_SPECIES
Pr 140.91 Pr.upf
Nd 144.24 Nd.upf
Y 88.91 Y.upf
CELL_PARAMETERS angstrom
5.728 -0.786 -2.691
-3.271 5.239 1.586
-3.994 2.495 13.440
ATOMIC_POSITIONS angstrom
Pr -1.461 3.527 10.981
Pr -0.077 3.421 1.354
Pr -2.038 2.957 7.392
Pr 0.501 3.991 4.943
Pr 0.000 0.000 0.000
Nd -2.109 6.374 8.762
Nd 0.571 0.574 3.573
Y -4.656 5.345 11.209
Y 3.119 1.603 1.126
```

Results
Symmetry: No. 2

---

## 2
A plane-wave DFT calculation with PBE was carried out for a geometry-optimized Pr5Nd2Y2 structure. Values from VASP.

```
&SYSTEM
  ibrav = 0, nat = 18, ntyp = 3
/
ATOMIC_SPECIES
Y 88.91 Y.upf
Nd 144.24 Nd.upf
Pr 140.91 Pr.upf
CELL_PARAMETERS angstrom
-1.976 8.251 -8.625
2.550 -4.365 -4.759
-7.230 -4.778 5.572
ATOMIC_POSITIONS angstrom
Y -3.793 -4.494 -3.522
Y -2.588 3.131 -4.805
Y -0.346 -3.087 -2.966
Y -6.035 1.724 -5.361
Nd -3.248 -1.783 -1.018
Nd -2.948 0.105 -7.653
Nd 0.094 -0.161 -0.176
Nd 0.381 1.782 -6.868
Pr -2.741 1.594 -1.760
Pr -6.454 -3.326 2.499
Pr -0.400 2.797 -10.001
Pr -1.666 4.940 -7.580
Pr -1.543 -0.268 -4.475
Pr -1.970 -5.135 -0.459
Pr -5.703 0.385 -2.238
Pr -5.170 -5.548 0.161
Pr -4.505 -1.477 -4.953
Pr -5.165 5.063 -6.459
```

Results
Symmetry: No. 46

---

Stability, highest: 1